Crystalline LaCe4U3N8 at its relaxed geometry. Source: the Alexandria database, functional PBE-GGA.

Calculated values
The value obtained for the final energy is -0.3487 Ha/atom.

Cell lengths 7.066, 7.066, 7.066 Å; angles 59.95, 59.95, 59.95 degrees
Element x y z (fractional)
1 La 0.000 0.000 0.000
2 Ce 0.000 0.000 0.500
3 Ce 0.000 0.500 0.000
4 Ce 0.500 0.000 0.000
5 Ce 0.500 0.500 0.500
6 U 0.000 0.500 0.500
7 U 0.500 0.000 0.500
8 U 0.500 0.500 0.000
9 N 0.256 0.256 0.714
10 N 0.256 0.714 0.256
11 N 0.260 0.260 0.260
12 N 0.286 0.744 0.744
13 N 0.714 0.256 0.256
14 N 0.740 0.740 0.740
15 N 0.744 0.286 0.744
16 N 0.744 0.744 0.286